{
  "formula": "Ce4PuTh",
  "functional": "GGA-PBE",
  "state": "optimized geometry",
  "cell": [[0.000, 4.344, 4.344], [4.344, 0.000, 4.344], [4.344, 4.344, 0.000]],
  "species": ["Ce", "Ce", "Ce", "Ce", "Pu", "Th"],
  "fractional_positions": [[0.376, 0.376, 0.376], [0.376, 0.376, 0.871], [0.376, 0.871, 0.376], [0.871, 0.376, 0.376], [0.000, 0.000, 0.000], [0.750, 0.750, 0.750]],
  "relative_energy_ev_per_atom": 0.166,
  "sg": "F-43m"
}